Record 1
A plane-wave DFT calculation with PBE was carried out for a relaxed structure of Ni9Ge3H2.

a b c (Å): 5.0942 5.0942 12.6243
angles (deg): 90.00 90.00 120.00
Last column: nearest neighbours and their distance in Å.
Positions (direct):
Ni (0.0032, 0.5016, 0.2500)  2 H 1.89
Ni (0.1650, 0.3300, 0.5813)  1 H 1.77
Ni (0.1650, 0.3300, 0.9187)  1 H 1.77
Ni (0.1650, 0.8350, 0.5813)  1 H 1.77
Ni (0.1650, 0.8350, 0.9187)  1 H 1.77
Ni (0.3300, 0.1650, 0.0813)  1 H 1.77
Ni (0.3300, 0.1650, 0.4187)  1 H 1.77
Ni (0.4984, 0.5016, 0.2500)  2 H 1.89
Ni (0.4984, 0.9968, 0.2500)  2 H 1.89
Ni (0.5016, 0.0032, 0.7500)  2 H 1.89
Ni (0.5016, 0.4984, 0.7500)  2 H 1.89
Ni (0.6700, 0.8350, 0.5813)  1 H 1.77
Ni (0.6700, 0.8350, 0.9187)  1 H 1.77
Ni (0.8350, 0.1650, 0.0813)  1 H 1.77
Ni (0.8350, 0.1650, 0.4187)  1 H 1.77
Ni (0.8350, 0.6700, 0.0813)  1 H 1.77
Ni (0.8350, 0.6700, 0.4187)  1 H 1.77
Ni (0.9968, 0.4984, 0.7500)  2 H 1.89
Ge (0.0000, 0.0000, 0.2500)  12 Ni 2.55-2.58
Ge (0.0000, 0.0000, 0.7500)  12 Ni 2.55-2.58
Ge (0.3333, 0.6667, 0.0856)  12 Ni 2.54-2.58
Ge (0.3333, 0.6667, 0.4144)  12 Ni 2.54-2.58
Ge (0.6667, 0.3333, 0.5856)  12 Ni 2.54-2.58
Ge (0.6667, 0.3333, 0.9144)  12 Ni 2.54-2.58
H (0.3333, 0.6667, 0.6569)  6 Ni 1.77-1.89
H (0.3333, 0.6667, 0.8431)  6 Ni 1.77-1.89
H (0.6667, 0.3333, 0.1569)  6 Ni 1.77-1.89
H (0.6667, 0.3333, 0.3431)  6 Ni 1.77-1.89

Results
SG: P6_3/mmc
Calculated density: 8.76 g cm⁻³
VASP energy: -152.156 eV per cell
Fermi-level density of states: 6.16 states/eV/f.u.

Record 2
A plane-wave DFT calculation with PBE was carried out for a relaxed structure of Zr2Cd2C.

a b c (Å): 10.2797 10.2797 10.2797
angles (deg): 18.67 18.67 18.67
Last column: nearest neighbours and their distance in Å.
Positions (direct):
Zr (0.1254, 0.1254, 0.1254)  3 C 2.30
Zr (0.8746, 0.8746, 0.8746)  3 C 2.30
Cd (0.3745, 0.3745, 0.3745)  9 Cd 3.15-3.34, 3 Zr 3.20
Cd (0.6255, 0.6255, 0.6255)  9 Cd 3.15-3.34, 3 Zr 3.20
C (0.5000, 0.5000, 0.5000)  6 Zr 2.30

Results
SG: R-3m
Energy relative to the elements: -0.440 eV per atom
Calculated density: 7.16 g cm⁻³
Fermi-level density of states: 1.72 states/eV/f.u.

Q: Which value of Fermi-level density of states does entry 1 give?
A: 6.16 states/eV/f.u.